The following is a GGA-PBE calculation of TmPaGa4 after structural relaxation, from Alexandria.

As for the formation energy: -0.34 eV per atom. For the total energy, the calculation gives -4.69 eV/atom.

The structure belongs to space group F-43m (No. 216); the cell edges are 7.780, 7.780 and 7.780 Å and the angles 90.00°, 90.00° and 90.00°. The inequivalent atoms are Tm at (0.000, 0.000, 0.000), Pa at (0.250, 0.250, 0.750) and Ga at (0.125, 0.125, 0.375).



The following is a GGA-PBE calculation of TmPa3Ga12 after structural relaxation, from Alexandria.

As for the formation energy: -0.41 eV per atom. For the total energy, the calculation gives -4.74 eV/atom.

The structure belongs to space group P4/mmm (No. 123); the cell edges are 4.289, 4.289 and 17.090 Å and the angles 90.00°, 90.00° and 90.00°. The inequivalent atoms are Tm at (0.000, 0.000, 0.000), Pa at (0.000, 0.000, 0.248), Pa at (0.000, 0.000, 0.500), Ga at (0.000, 0.500, 0.122), Ga at (0.000, 0.500, 0.374), Ga at (0.500, 0.500, 0.000), Ga at (0.500, 0.500, 0.251) and Ga at (0.500, 0.500, 0.500).



The following is a GGA-PBE calculation of TmPa2Ga after structural relaxation, from Alexandria.

As for the formation energy: 0.15 eV per atom. For the total energy, the calculation gives -6.48 eV/atom.

The structure belongs to space group R-3m (No. 166, hexagonal axes); the cell edges are 3.1543, 3.1543 and 34.0265 Å and the angles 90.00°, 90.00° and 120.00°. The inequivalent atoms are Tm at (0.0000, 0.0000, 0.0000), Pa at (0.0000, 0.0000, 0.0917) and Ga at (0.0000, 0.0000, 0.5000).



The following is a GGA-PBE calculation of Tm2PaGa6 after structural relaxation, from Alexandria.

As for the formation energy: -0.49 eV per atom. For the total energy, the calculation gives -4.56 eV/atom.

The structure belongs to space group P6/mmm (No. 191); the cell edges are 7.7751, 7.7751 and 3.4090 Å and the angles 90.00°, 90.00° and 120.00°. The inequivalent atoms are Tm at (0.3333, 0.6667, 0.0000), Pa at (0.0000, 0.0000, 0.0000) and Ga at (0.0000, 0.3351, 0.5000).



The following is a GGA-PBE calculation of TmPaGa6 after structural relaxation, from Alexandria.

As for the formation energy: -0.43 eV per atom. For the total energy, the calculation gives -4.45 eV/atom.

The structure belongs to space group P-6m2 (No. 187); the cell edges are 6.2407, 6.2407 and 4.5597 Å and the angles 90.00°, 90.00° and 120.00°. The inequivalent atoms are Tm at (0.0000, 0.0000, 0.0000), Pa at (0.6667, 0.3333, 0.5000), Ga at (0.0379, 0.5190, 0.0000) and Ga at (0.1820, 0.3639, 0.5000).



The following is a GGA-PBE calculation of UPaGa2 after structural relaxation, from Alexandria.

As for the formation energy: -0.15 eV per atom. For the total energy, the calculation gives -6.86 eV/atom.

The structure belongs to space group P4/mmm (No. 123); the cell edges are 3.015, 3.015 and 9.026 Å and the angles 90.00°, 90.00° and 90.00°. The inequivalent atoms are U at (0.000, 0.000, 0.000), Pa at (0.000, 0.000, 0.500) and Ga at (0.500, 0.500, 0.248).



The following is a GGA-PBE calculation of UPaGa4 after structural relaxation, from Alexandria.

As for the formation energy: -0.23 eV per atom. For the total energy, the calculation gives -5.71 eV/atom.

The structure belongs to space group Pmmm (No. 47); the cell edges are 3.094, 4.701 and 8.094 Å and the angles 90.00°, 90.00° and 90.00°. The inequivalent atoms are U at (0.000, 0.000, 0.000), Pa at (0.000, 0.500, 0.500), Ga at (0.500, 0.000, 0.333) and Ga at (0.500, 0.500, 0.166).



The following is a GGA-PBE calculation of UPaGa4 after structural relaxation, from Alexandria.

As for the formation energy: -0.04 eV per atom. For the total energy, the calculation gives -5.52 eV/atom.

The structure belongs to space group Pmma (No. 51); the cell edges are 8.602, 4.294 and 6.860 Å and the angles 90.00°, 90.00° and 90.00°. The inequivalent atoms are U at (0.250, 0.000, 0.208), Pa at (0.250, 0.000, 0.818), Ga at (0.000, 0.000, 0.500), Ga at (0.007, 0.500, 0.193) and Ga at (0.250, 0.500, 0.507).



The following is a GGA-PBE calculation of U2PaGa after structural relaxation, from Alexandria.

As for the formation energy: -0.03 eV per atom. For the total energy, the calculation gives -8.80 eV/atom.

The structure belongs to space group P4/mmm (No. 123); the cell edges are 4.295, 4.295 and 4.546 Å and the angles 90.00°, 90.00° and 90.00°. The inequivalent atoms are U at (0.000, 0.500, 0.000), Pa at (0.000, 0.000, 0.500) and Ga at (0.500, 0.500, 0.500).



The following is a GGA-PBE calculation of U2PaGa9 after structural relaxation, from Alexandria.

As for the formation energy: -0.28 eV per atom. For the total energy, the calculation gives -5.22 eV/atom.

The structure belongs to space group P4/mmm (No. 123); the cell edges are 4.278, 4.278 and 12.843 Å and the angles 90.00°, 90.00° and 90.00°. The inequivalent atoms are U at (0.000, 0.000, 0.166), Pa at (0.000, 0.000, 0.500), Ga at (0.000, 0.500, 0.000), Ga at (0.000, 0.500, 0.331), Ga at (0.500, 0.500, 0.166) and Ga at (0.500, 0.500, 0.500).



The following is a GGA-PBE calculation of UPa2Ga after structural relaxation, from Alexandria.

As for the formation energy: -0.08 eV per atom. For the total energy, the calculation gives -8.41 eV/atom.

The structure belongs to space group P4/mmm (No. 123); the cell edges are 4.558, 4.558 and 4.209 Å and the angles 90.00°, 90.00° and 90.00°. The inequivalent atoms are U at (0.000, 0.000, 0.000), Pa at (0.000, 0.500, 0.500) and Ga at (0.500, 0.500, 0.000).



The following is a GGA-PBE calculation of UPa3Ga after structural relaxation, from Alexandria.

As for the formation energy: 0.17 eV per atom. For the total energy, the calculation gives -8.39 eV/atom.

The structure belongs to space group Pnma (No. 62); the cell edges are 6.303, 6.071 and 12.604 Å and the angles 90.00°, 90.00° and 90.00°. The inequivalent atoms are U at (0.139, 0.250, 0.180), Pa at (0.111, 0.250, 0.720), Pa at (0.150, 0.023, 0.417) and Ga at (0.042, 0.750, 0.056).



The following is a GGA-PBE calculation of U2Pa7Ga2 after structural relaxation, from Alexandria.

As for the formation energy: 0.34 eV per atom. For the total energy, the calculation gives -8.31 eV/atom.

The structure belongs to space group Cmmm (No. 65); the cell edges are 7.610, 10.646 and 6.755 Å and the angles 90.00°, 90.00° and 90.00°. The inequivalent atoms are U at (0.000, 0.209, 0.000), Pa at (0.000, 0.000, 0.249), Pa at (0.000, 0.500, 0.000), Pa at (0.250, 0.250, 0.269) and Ga at (0.164, 0.500, 0.500).



The following is a GGA-PBE calculation of UPaGa2 after structural relaxation, from Alexandria.

As for the formation energy: -0.12 eV per atom. For the total energy, the calculation gives -6.83 eV/atom.

The structure belongs to space group R-3m (No. 166, hexagonal axes); the cell edges are 3.0483, 3.0483 and 30.9933 Å and the angles 90.00°, 90.00° and 120.00°. The inequivalent atoms are U at (0.0000, 0.0000, 0.0000), Pa at (0.0000, 0.0000, 0.5000) and Ga at (0.0000, 0.0000, 0.2504).



The following is a GGA-PBE calculation of U2PaGa6 after structural relaxation, from Alexandria.

As for the formation energy: -0.21 eV per atom. For the total energy, the calculation gives -5.79 eV/atom.

The structure belongs to space group P6/mmm (No. 191); the cell edges are 8.1667, 8.1667 and 3.0343 Å and the angles 90.00°, 90.00° and 120.00°. The inequivalent atoms are U at (0.3333, 0.6667, 0.0000), Pa at (0.0000, 0.0000, 0.0000) and Ga at (0.0000, 0.3337, 0.5000).



The following is a GGA-PBE calculation of UPa2Ga after structural relaxation, from Alexandria.

As for the formation energy: 0.01 eV per atom. For the total energy, the calculation gives -8.32 eV/atom.

The structure belongs to space group P4/mmm (No. 123); the cell edges are 3.685, 3.685 and 6.511 Å and the angles 90.00°, 90.00° and 90.00°. The inequivalent atoms are U at (0.000, 0.000, 0.000), Pa at (0.500, 0.500, 0.248) and Ga at (0.000, 0.000, 0.500).



The following is a GGA-PBE calculation of UPa2Ga after structural relaxation, from Alexandria.

As for the formation energy: 0.07 eV per atom. For the total energy, the calculation gives -8.25 eV/atom.

The structure belongs to space group R-3m (No. 166, hexagonal axes); the cell edges are 3.0653, 3.0653 and 33.1613 Å and the angles 90.00°, 90.00° and 120.00°. The inequivalent atoms are U at (0.0000, 0.0000, 0.0000), Pa at (0.0000, 0.0000, 0.2459) and Ga at (0.0000, 0.0000, 0.5000).



The following is a GGA-PBE calculation of U4PaGa15 after structural relaxation, from Alexandria.

As for the formation energy: -0.26 eV per atom. For the total energy, the calculation gives -5.27 eV/atom.

The structure belongs to space group P4/mmm (No. 123); the cell edges are 4.270, 4.270 and 21.419 Å and the angles 90.00°, 90.00° and 90.00°. The inequivalent atoms are U at (0.000, 0.000, 0.100), U at (0.000, 0.000, 0.299), Pa at (0.000, 0.000, 0.500), Ga at (0.000, 0.500, 0.000), Ga at (0.000, 0.500, 0.199), Ga at (0.000, 0.500, 0.399), Ga at (0.500, 0.500, 0.100), Ga at (0.500, 0.500, 0.300) and Ga at (0.500, 0.500, 0.500).



The following is a GGA-PBE calculation of UPa2Ga after structural relaxation, from Alexandria.

As for the formation energy: 0.05 eV per atom. For the total energy, the calculation gives -8.28 eV/atom.

The structure belongs to space group Fm-3m (No. 225); the cell edges are 7.036, 7.036 and 7.036 Å and the angles 90.00°, 90.00° and 90.00°. The inequivalent atoms are U at (0.000, 0.000, 0.000), Pa at (0.250, 0.250, 0.250) and Ga at (0.000, 0.000, 0.500).



The following is a GGA-PBE calculation of U2PaGa after structural relaxation, from Alexandria.

As for the formation energy: 0.16 eV per atom. For the total energy, the calculation gives -8.62 eV/atom.

The structure belongs to space group Fm-3m (No. 225); the cell edges are 6.886, 6.886 and 6.886 Å and the angles 90.00°, 90.00° and 90.00°. The inequivalent atoms are U at (0.250, 0.250, 0.250), Pa at (0.000, 0.000, 0.000) and Ga at (0.000, 0.000, 0.500).